# VOs2Rh

A geometry-optimized VOs2Rh structure (GGA-PBE, the Alexandria database).

Values from the calculation:
**Excess energy over the best structure of this formula in the dataset**: 0.0 meV/atom
**Calculated formation energy**: -0.163 eV/atom
**Total moment**: 0.00 μB/atom
**E**: -9.895 eV/atom

abc: 3.810 3.810 3.858
angles: 90.00 90.00 90.00
Positions (direct):
V1 0.000 0.000 0.000
Os1 0.000 0.500 0.500
Os2 0.500 0.000 0.500
Rh1 0.500 0.500 0.000